Entry 1:
Material: ZnNi5B2Ir2
Method: DFT, PBE
State: relaxed

- Raw total energy: -62.74 eV per formula unit
- M_tot: 0.000 μB/f.u.
- DOS at the Fermi energy: 0.679 states/eV per atom
- Energy of formation: -1.5 eV/f.u.

a = 8.6719 Å, b = 8.6719 Å, c = 2.8629 Å
α = 90.00°, β = 90.00°, γ = 90.00°
Last column: nearest neighbours and their distance in Å.
Space group P4/mbm (No. 127)
One atom of each set of equivalent atoms:
Zn 0.0000 0.0000 0.0000 [2 per cell]  8 Ni 2.46
Ni 0.0000 0.5000 0.5000 [2 per cell]  4 B 2.15
Ni 0.0521 0.2240 0.5000 [8 per cell]  2 B 2.03
B 0.1307 0.3693 0.0000 [4 per cell]  6 Ni 2.03-2.15, 1 Ir 2.19
Ir 0.1906 0.6906 0.0000 [4 per cell]  1 B 2.19

***

Entry 2:
Material: ZrTiO
Method: DFT, PBE
State: relaxed

- Raw total energy: -25.50 eV per formula unit
- M_tot: 0.000 μB/f.u.
- DOS at the Fermi energy: 0.777 states/eV per atom
- Energy relative to the elements, uncorrected: -4.1 eV per formula unit

a = 12.5705 Å, b = 5.2449 Å, c = 8.5722 Å
α = 90.00°, β = 101.59°, γ = 90.00°
Last column: nearest neighbours and their distance in Å.
Space group C2/c (No. 15)
One atom of each set of equivalent atoms:
Zr 0.0000 0.1878 0.2500 [4 per cell]  2 O 2.36
Zr 0.1875 0.3063 0.6564 [8 per cell]  3 O 2.25-2.41
Ti 0.0495 0.3117 0.9154 [8 per cell]  2 O 1.94-2.10
Ti 0.2500 0.2500 0.0000 [4 per cell]  2 O 2.01
O 0.0000 0.0000 0.0000 [4 per cell]  2 Ti 1.94
O 0.1757 0.4418 0.3871 [8 per cell]  2 Ti 2.01-2.10, 1 Zr 2.25

***

Entry 3:
Material: KV3Cl
Method: DFT, PBE
State: relaxed

- Raw total energy: -16.25 eV per formula unit
- M_tot: 0.772 μB/f.u.
- DOS at the Fermi energy: 1.503 states/eV per atom
- Energy relative to the elements, uncorrected: 14.1 eV per formula unit

a = 4.4469 Å, b = 4.4469 Å, c = 4.4469 Å
α = 90.00°, β = 90.00°, γ = 90.00°
Last column: nearest neighbours and their distance in Å.
Space group Pm-3m (No. 221)
One atom of each set of equivalent atoms:
K 0.0000 0.0000 0.0000 [1 per cell]  6 V 2.22
V 0.0000 0.0000 0.5000 [3 per cell]  2 K 2.22
Cl 0.5000 0.5000 0.5000 [1 per cell]  12 V 3.14

***

Entry 4:
Material: CuBP2Cl
Method: DFT, PBE
State: relaxed

- Raw total energy: -16.14 eV per formula unit
- M_tot: 0.914 μB/f.u.
- DOS at the Fermi energy: 0.887 states/eV per atom
- Energy relative to the elements, uncorrected: 7.3 eV per formula unit

a = 4.3592 Å, b = 4.3592 Å, c = 5.3534 Å
α = 90.00°, β = 90.00°, γ = 90.00°
Last column: nearest neighbours and their distance in Å.
Space group P4/mmm (No. 123)
One atom of each set of equivalent atoms:
Cu 0.0000 0.0000 0.0000 [1 per cell]  4 P 2.18
B 0.5000 0.5000 0.5000 [1 per cell]  4 Cl 3.08, 8 P 3.45
P 0.0000 0.5000 0.0000 [2 per cell]  2 Cu 2.18
Cl 0.0000 0.0000 0.5000 [1 per cell]  2 Cu 2.68

***

Entry 5:
Material: Sm6HgAu5
Method: DFT, PBE
State: relaxed

- Raw total energy: -53.90 eV per formula unit
- M_tot: 0.000 μB/f.u.
- DOS at the Fermi energy: 0.671 states/eV per atom
- Energy of formation: -8.9 eV/f.u.

a = 5.2313 Å, b = 7.3383 Å, c = 15.7442 Å
α = 90.00°, β = 90.00°, γ = 90.00°
Last column: nearest neighbours and their distance in Å.
Space group Immm (No. 71)
One atom of each set of equivalent atoms:
Sm 0.0000 0.2421 0.0000 [4 per cell]  6 Au 3.14-3.18, 2 Hg 3.23
Sm 0.0000 0.2535 0.3303 [8 per cell]  7 Au 3.17-3.24, 1 Hg 3.25
Hg 0.0000 0.0000 0.5000 [2 per cell]  8 Sm 3.23-3.25
Au 0.0000 0.0000 0.1676 [4 per cell]  8 Sm 3.17-3.18
Au 0.0000 0.5000 0.1594 [4 per cell]  8 Sm 3.14-3.24
Au 0.0000 0.5000 0.5000 [2 per cell]  8 Sm 3.16-3.23

***

Entry 6:
Material: Tb2GdAl
Method: DFT, PBE
State: relaxed

- Raw total energy: -27.80 eV per formula unit
- M_tot: 7.576 μB/f.u.
- DOS at the Fermi energy: 0.968 states/eV per atom
- Energy of formation: -0.7 eV/f.u.

a = 3.5352 Å, b = 3.5352 Å, c = 9.0236 Å
α = 90.00°, β = 90.00°, γ = 90.00°
Last column: nearest neighbours and their distance in Å.
Space group P4/mmm (No. 123)
One atom of each set of equivalent atoms:
Tb 0.0000 0.0000 0.2122 [2 per cell]  4 Al 3.15
Gd 0.5000 0.5000 0.5000 [1 per cell]  4 Gd 3.54, 8 Tb 3.60
Al 0.5000 0.5000 0.0000 [1 per cell]  8 Tb 3.15